Record 1
First-principles (GGA-PBE) data for crystalline SrZrZn2 at its relaxed geometry, as listed in Alexandria via LeMat-Bulk.

a = 3.5359 Å, b = 3.5409 Å, c = 8.1882 Å
α = 64.42°, β = 90.00°, γ = 90.00°
With the nearest neighbours (Å) after each atom.
Sites, in units of the cell vectors:
Zn  0.0000  0.5521  0.4477  4 Zr 2.90, 1 Zn 2.92
Zr  0.5000  0.2500  0.2500  8 Zn 2.90
Sr  0.5000  0.7500  0.7500  8 Zn 3.35, 4 Sr 3.54, 2 Zr 3.69
Zn  0.0000  0.9479  0.0523  4 Zr 2.90, 1 Zn 2.92

Summary:
**Energy**: -13.3 eV/f.u.
**DOS at the Fermi energy**: 0.674 states/eV/atom
**Space group**: P4/mmm (123)
**Total moment**: 0.00 μB/cell

***

Record 2
First-principles (GGA-PBE) data for crystalline Nd6GePt2Br3 at its relaxed geometry, as listed in Alexandria via LeMat-Bulk.

a = 7.4094 Å, b = 7.4094 Å, c = 7.9095 Å
α = 99.01°, β = 99.01°, γ = 119.95°
With the nearest neighbours (Å) after each atom.
Sites, in units of the cell vectors:
Pt  0.6672  0.3328  0.0000  6 Nd 2.88-2.89
Br  0.8405  0.1595  0.5000  6 Nd 3.28-3.35
Ge  0.0000  0.0000  0.0000  6 Nd 2.97
Nd  0.9298  0.5876  0.7941  2 Pt 2.88-2.89, 1 Ge 2.97
Nd  0.2734  0.2734  0.7945  2 Pt 2.89, 1 Ge 2.97
Pt  0.3328  0.6672  0.0000  6 Nd 2.88-2.89
Nd  0.4124  0.0702  0.2059  2 Pt 2.88-2.89, 1 Ge 2.97
Nd  0.5876  0.9298  0.7941  2 Pt 2.88-2.89, 1 Ge 2.97
Br  0.5000  0.5000  0.5000  6 Nd 3.27-3.33
Nd  0.7266  0.7266  0.2055  2 Pt 2.89, 1 Ge 2.97
Br  0.1595  0.8405  0.5000  6 Nd 3.28-3.35
Nd  0.0702  0.4124  0.2059  2 Pt 2.88-2.89, 1 Ge 2.97

Summary:
**DOS at the Fermi energy**: 0.831 states/eV/atom
**Space group**: C2/m (12)
**Total moment**: 0.00 μB/cell
**Uncorrected formation energy**: -1.165 eV/atom

***

Record 3
First-principles (GGA-PBE) data for crystalline RbNa2NbAl at its relaxed geometry, as listed in Alexandria via LeMat-Bulk.

a = 5.9171 Å, b = 5.3040 Å, c = 5.9171 Å
α = 90.00°, β = 90.00°, γ = 90.00°
With the nearest neighbours (Å) after each atom.
Sites, in units of the cell vectors:
Rb  0.5000  0.5000  0.5000  8 Na 3.97, 4 Nb 4.18
Na  0.0000  0.0000  0.5000  2 Al 2.96
Na  0.5000  0.0000  0.0000  2 Al 2.96
Nb  0.0000  0.5000  0.0000  2 Al 2.65
Al  0.0000  0.0000  0.0000  2 Nb 2.65, 4 Na 2.96

Summary:
**DOS at the Fermi energy**: 0.717 states/eV/atom
**Space group**: P4/mmm (123)
**Total moment**: 3.78 μB/cell
**Distance to the lowest polymorph of the same formula**: 0.0 meV/atom

***

Record 4
First-principles (GGA-PBE) data for crystalline Ac12Co5Au3 at its relaxed geometry, as listed in Alexandria via LeMat-Bulk.

a = 15.2453 Å, b = 15.2453 Å, c = 15.2453 Å
α = 109.47°, β = 109.47°, γ = 109.47°
With the nearest neighbours (Å) after each atom.
Sites, in units of the cell vectors:
Au  0.3750  0.6250  0.2500  8 Ac 3.37-3.46
Ac  0.5935  0.9711  0.6789  2 Co 2.64-2.88
Ac  0.1789  0.0935  0.9711  2 Co 2.64-2.88
Ac  0.2079  0.6789  0.0854  2 Co 2.64-2.88
Ac  0.5935  0.6225  0.4146  2 Co 2.64-2.88
Ac  0.9146  0.0935  0.6225  2 Co 2.64-2.88
Ac  0.0854  0.9065  0.3775  2 Co 2.64-2.88
Co  0.5000  0.0000  0.5000  6 Ac 2.88
Ac  0.1225  0.7079  0.5289  2 Co 2.64-2.88
Ac  0.6225  0.0289  0.2079  2 Co 2.64-2.88
Au  0.2500  0.6250  0.8750  8 Ac 3.37-3.46
Co  0.5000  0.0000  0.0000  6 Ac 2.88
Ac  0.4146  0.2921  0.3211  2 Co 2.64-2.88
Ac  0.4065  0.0289  0.3211  2 Co 2.64-2.88
Ac  0.6225  0.5935  0.9146  2 Co 2.64-2.88
Ac  0.8775  0.2921  0.4711  2 Co 2.64-2.88
Ac  0.7079  0.1225  0.0289  2 Co 2.64-2.88
Au  0.8750  0.7500  0.1250  8 Ac 3.37-3.46
Ac  0.3775  0.4065  0.0854  2 Co 2.64-2.88
Ac  0.9711  0.3775  0.2921  2 Co 2.64-2.88
Co  0.7500  0.1250  0.8750  4 Ac 2.64
Co  0.7500  0.6250  0.3750  4 Ac 2.64
Co  0.5000  0.5000  0.5000  6 Ac 2.88
Ac  0.5289  0.3211  0.9065  2 Co 2.64-2.88
Ac  0.9065  0.8211  0.5289  2 Co 2.64-2.88
Ac  0.8211  0.9065  0.0289  2 Co 2.64-2.88
Ac  0.6789  0.4711  0.5935  2 Co 2.64-2.88
Co  0.5000  0.5000  0.0000  6 Ac 2.88
Co  0.0000  0.0000  0.0000  6 Ac 2.88
Ac  0.0289  0.4065  0.8211  2 Co 2.64-2.88
Co  0.6250  0.7500  0.8750  4 Ac 2.64
Ac  0.0935  0.9146  0.1225  2 Co 2.64-2.88
Co  0.8750  0.2500  0.6250  4 Ac 2.64
Co  0.2500  0.8750  0.1250  4 Ac 2.64
Au  0.2500  0.1250  0.3750  8 Ac 3.37-3.46
Co  0.1250  0.3750  0.2500  4 Ac 2.64
Co  0.3750  0.2500  0.1250  4 Ac 2.64
Co  0.6250  0.8750  0.2500  4 Ac 2.64
Co  0.3750  0.1250  0.7500  4 Ac 2.64
Ac  0.2921  0.8775  0.9711  2 Co 2.64-2.88
Co  0.1250  0.7500  0.3750  4 Ac 2.64
Ac  0.7921  0.3211  0.9146  2 Co 2.64-2.88
Ac  0.3211  0.5289  0.4065  2 Co 2.64-2.88
Ac  0.1225  0.4146  0.0935  2 Co 2.64-2.88
Co  0.0000  0.5000  0.0000  6 Ac 2.88
Co  0.0000  0.5000  0.5000  6 Ac 2.88
Ac  0.2921  0.4146  0.8211  2 Co 2.64-2.88
Ac  0.7921  0.4711  0.3775  2 Co 2.64-2.88
Ac  0.4711  0.6789  0.0935  2 Co 2.64-2.88
Ac  0.7079  0.5854  0.1789  2 Co 2.64-2.88
Ac  0.4065  0.3775  0.5854  2 Co 2.64-2.88
Ac  0.0935  0.1789  0.4711  2 Co 2.64-2.88
Ac  0.4711  0.7921  0.8775  2 Co 2.64-2.88
Ac  0.9711  0.5935  0.1789  2 Co 2.64-2.88
Ac  0.9065  0.0854  0.8775  2 Co 2.64-2.88
Ac  0.5854  0.7079  0.6789  2 Co 2.64-2.88
Ac  0.2079  0.5289  0.6225  2 Co 2.64-2.88
Ac  0.1789  0.0854  0.7079  2 Co 2.64-2.88
Au  0.6250  0.2500  0.3750  8 Ac 3.37-3.46
Ac  0.0289  0.6225  0.7079  2 Co 2.64-2.88
Co  0.8750  0.6250  0.7500  4 Ac 2.64
Au  0.1250  0.8750  0.7500  8 Ac 3.37-3.46
Au  0.8750  0.1250  0.2500  8 Ac 3.37-3.46
Co  0.2500  0.3750  0.6250  4 Ac 2.64
Ac  0.9146  0.8211  0.7921  2 Co 2.64-2.88
Ac  0.5289  0.2079  0.1225  2 Co 2.64-2.88
Au  0.7500  0.8750  0.6250  8 Ac 3.37-3.46
Ac  0.8775  0.5854  0.9065  2 Co 2.64-2.88
Ac  0.0854  0.1789  0.2079  2 Co 2.64-2.88
Ac  0.4146  0.1225  0.5935  2 Co 2.64-2.88
Co  0.0000  0.0000  0.5000  6 Ac 2.88
Ac  0.5854  0.8775  0.4065  2 Co 2.64-2.88
Au  0.7500  0.3750  0.1250  8 Ac 3.37-3.46
Ac  0.3211  0.7921  0.4146  2 Co 2.64-2.88
Ac  0.3775  0.9711  0.7921  2 Co 2.64-2.88
Au  0.1250  0.2500  0.8750  8 Ac 3.37-3.46
Au  0.3750  0.7500  0.6250  8 Ac 3.37-3.46
Au  0.6250  0.3750  0.7500  8 Ac 3.37-3.46
Ac  0.8211  0.9146  0.2921  2 Co 2.64-2.88
Ac  0.6789  0.2079  0.5854  2 Co 2.64-2.88

Summary:
**Energy**: -96.4 eV/f.u.
**DOS at the Fermi energy**: 1.006 states/eV/atom
**Space group**: Ia-3d (230)
**Total moment**: 0.00 μB/cell